Entry 1:
HgSbPt2 after structural relaxation. Source: the Alexandria database, functional PBE.

The density comes out at 14.73 Mg/m³. For the volume, the calculation gives 20.1 Å³ per atom. The total energy is -4.186 eV per atom. The calculation puts the raw formation energy at -0.059 eV per atom.

The space group is Imm2 (No. 44) and the conventional cell measures 3.217, 4.412 and 11.317 Å, with angles of 90.00, 90.00 and 90.00 degrees. The distinct sites, in fractional coordinates, are Hg at (0.000, 0.000, 0.000), Sb at (0.000, 0.500, 0.236), Pt at (0.000, 0.000, 0.541) and Pt at (0.000, 0.500, 0.820).

Entry 2:
Dy3GaBi2 after structural relaxation. Source: the Alexandria database, functional PBE.

The density comes out at 8.90 Mg/m³. For the volume, the calculation gives 30.3 Å³ per atom. The total energy is -4.561 eV per atom.

The space group is Cmmm (No. 65) and the conventional cell measures 6.187, 16.348 and 3.597 Å, with angles of 90.00, 90.00 and 90.00 degrees. The distinct sites, in fractional coordinates, are Dy at (0.000, 0.000, 0.000), Dy at (0.000, 0.360, 0.500), Ga at (0.000, 0.500, 0.000) and Bi at (0.000, 0.166, 0.500).

Entry 3:
NbTe2O after structural relaxation. Source: the Alexandria database, functional PBE.

The density comes out at 5.99 Mg/m³. For the volume, the calculation gives 25.2 Å³ per atom. The total energy is -5.173 eV per atom. The calculation puts the raw formation energy at 0.155 eV per atom.

The space group is I-42d (No. 122) and the conventional cell measures 5.823, 5.823 and 11.899 Å, with angles of 90.00, 90.00 and 90.00 degrees. The distinct sites, in fractional coordinates, are Nb at (0.000, 0.000, 0.000), Te at (0.209, 0.250, 0.625) and O at (0.000, 0.000, 0.500).

Entry 4:
SrNdAlAu after structural relaxation. Source: the Alexandria database, functional PBE.

The density comes out at 6.87 Mg/m³. For the volume, the calculation gives 27.6 Å³ per atom. The total energy is -3.781 eV per atom.

The space group is F-43m (No. 216) and the conventional cell measures 7.611, 7.611 and 7.611 Å, with angles of 90.00, 90.00 and 90.00 degrees. The distinct sites, in fractional coordinates, are Sr at (0.000, 0.000, 0.000), Nd at (0.000, 0.000, 0.500), Al at (0.250, 0.250, 0.250) and Au at (0.250, 0.250, 0.750).

Entry 5:
TlBiF2 after structural relaxation. Source: the Alexandria database, functional PBE.

The density comes out at 8.63 Mg/m³. For the volume, the calculation gives 21.7 Å³ per atom. As for the offset from the most stable computed form: 234.5 meV per atom. The total energy is -3.825 eV per atom. The calculation puts the raw formation energy at -1.328 eV per atom.

The space group is I-42d (No. 122) and the conventional cell measures 7.290, 7.290 and 6.534 Å, with angles of 90.00, 90.00 and 90.00 degrees. The distinct sites, in fractional coordinates, are Tl at (0.000, 0.000, 0.000), Bi at (0.000, 0.000, 0.500) and F at (0.199, 0.750, 0.625).

Entry 6:
Mg16Al12Br after structural relaxation. Source: the Alexandria database, functional PBE.

The density comes out at 2.21 Mg/m³. For the volume, the calculation gives 20.5 Å³ per atom. As for the offset from the most stable computed form: 7.8 meV per atom. The total energy is -2.495 eV per atom. The calculation puts the raw formation energy at -0.009 eV per atom.

The space group is I-43m (No. 217) and the conventional cell measures 10.602, 10.602 and 10.602 Å, with angles of 90.00, 90.00 and 90.00 degrees. The distinct sites, in fractional coordinates, are Mg at (0.049, 0.360, 0.360), Mg at (0.158, 0.158, 0.842), Al at (0.095, 0.095, 0.284) and Br at (0.000, 0.000, 0.000).

Entry 7:
ScFe2W after structural relaxation. Source: the Alexandria database, functional PBE.

The density comes out at 10.12 Mg/m³. For the volume, the calculation gives 14.0 Å³ per atom. The total energy is -9.032 eV per atom.

The space group is P4/mmm (No. 123) and the conventional cell measures 4.352, 4.352 and 2.950 Å, with angles of 90.00, 90.00 and 90.00 degrees. The distinct sites, in fractional coordinates, are Sc at (0.000, 0.000, 0.000), Fe at (0.000, 0.500, 0.500) and W at (0.500, 0.500, 0.000).

Entry 8:
LiDyCdGe after structural relaxation. Source: the Alexandria database, functional PBE.

The density comes out at 6.95 Mg/m³. For the volume, the calculation gives 21.2 Å³ per atom. The total energy is -3.427 eV per atom.

The space group is F-43m (No. 216) and the conventional cell measures 6.972, 6.972 and 6.972 Å, with angles of 90.00, 90.00 and 90.00 degrees. The distinct sites, in fractional coordinates, are Li at (0.000, 0.000, 0.000), Dy at (0.000, 0.000, 0.500), Cd at (0.250, 0.250, 0.250) and Ge at (0.250, 0.250, 0.750).

Entry 9:
Tl3In6Sn after structural relaxation. Source: the Alexandria database, functional PBE.

The density comes out at 7.75 Mg/m³. For the volume, the calculation gives 30.4 Å³ per atom. The total energy is -2.667 eV per atom.

The space group is P-31m (No. 162) and the conventional cell measures 6.0089, 6.0089 and 9.7359 Å, with angles of 90.00, 90.00 and 120.00 degrees. The distinct sites, in fractional coordinates, are Tl at (0.0000, 0.0000, 0.0000), Tl at (0.3333, 0.6667, 0.0000), In at (0.0000, 0.3658, 0.2846) and Sn at (0.0000, 0.0000, 0.5000).

Entry 10:
FeCoNiAs after structural relaxation. Source: the Alexandria database, functional PBE.

The density comes out at 8.86 Mg/m³. For the volume, the calculation gives 11.6 Å³ per atom. The total energy is -6.513 eV per atom.

The space group is F-43m (No. 216) and the conventional cell measures 5.711, 5.711 and 5.711 Å, with angles of 90.00, 90.00 and 90.00 degrees. The distinct sites, in fractional coordinates, are Fe at (0.000, 0.000, 0.000), Co at (0.000, 0.000, 0.500), Ni at (0.250, 0.250, 0.750) and As at (0.250, 0.250, 0.250).

Entry 11:
Th4Pd2N after structural relaxation. Source: the Alexandria database, functional PBE.

The density comes out at 10.82 Mg/m³. For the volume, the calculation gives 25.3 Å³ per atom. The total energy is -7.627 eV per atom. The calculation puts the raw formation energy at -0.714 eV per atom.

The space group is I4/mmm (No. 139) and the conventional cell measures 4.936, 4.936 and 14.548 Å, with angles of 90.00, 90.00 and 90.00 degrees. The distinct sites, in fractional coordinates, are Th at (0.000, 0.000, 0.181), Th at (0.000, 0.500, 0.000), Pd at (0.000, 0.000, 0.368) and N at (0.000, 0.000, 0.000).

Entry 12:
LaCo2Tc after structural relaxation. Source: the Alexandria database, functional PBE.

The density comes out at 7.03 Mg/m³. For the volume, the calculation gives 21.0 Å³ per atom. As for the offset from the most stable computed form: 435.3 meV per atom. The total energy is -6.914 eV per atom.

The space group is I-42d (No. 122) and the conventional cell measures 4.668, 4.668 and 15.393 Å, with angles of 90.00, 90.00 and 90.00 degrees. The distinct sites, in fractional coordinates, are La at (0.000, 0.000, 0.000), Co at (0.053, 0.250, 0.625) and Tc at (0.000, 0.000, 0.500).

Look up the density of the eighth one.
6.95 Mg/m³